# PBE with a Hubbard U NdCo2IrO6, relaxed
data_NdCo2IrO6
_chemical_formula_sum 'Nd1 Co2 Ir1 O6'
_symmetry_space_group_name_H-M 'P 1'
_symmetry_Int_Tables_number 1
_cell_length_a 5.2921
_cell_length_b 5.2921
_cell_length_c 5.6469
_cell_angle_alpha 62.06
_cell_angle_beta 62.06
_cell_angle_gamma 60.00
loop_
_symmetry_equiv_pos_as_xyz
'x,y,z'
loop_
_atom_site_label
_atom_site_type_symbol
_atom_site_fract_x
_atom_site_fract_y
_atom_site_fract_z
O1 O 0.1617 0.3338 0.7654
O2 O 0.9152 0.6208 0.2241
O3 O 0.7391 0.1617 0.7654
O4 O 0.2399 0.9152 0.2241
O5 O 0.3338 0.7391 0.7654
O6 O 0.6208 0.2399 0.2241
Nd1 Nd 0.7922 0.7922 0.6233
Ir1 Ir 0.3240 0.3240 0.0279
Co1 Co 0.0048 0.0048 0.9855
Co2 Co 0.5300 0.5300 0.4099
# Total moment ... 0.20 μB per atom
# VASP energy ... -67.57 eV for the cell shown
# Space group ... No. 146
# Volume ... 11.52 A^3/atom
# Mass density ... 7.93 g/cm3